Computed, not measured: a relaxed structure of NiBiNF2 at the PBE+U level of DFT.

Cell: 4.5084 4.5084 4.2862 Å, 90.00 90.00 90.00°
Fractional coordinates of all 5 atoms:
Ni 0.5000 0.5000 0.5000
N 0.0000 0.0000 0.5000
Bi 0.0000 0.0000 0.0000
F 0.0000 0.5000 0.0000
F 0.5000 0.0000 0.0000

Results
total magnetic moment	0.9	Bohr magnetons per cell
energy above the most stable polymorph in this dataset	497	meV per atom